(1)
Below is a geometry-optimized AgSbRh2 structure, with properties calculated at the GGA-PBEsol level.

Offset from the most stable computed form: 0.00 eV per formula unit
Energy relative to the elements, uncorrected: -192.7 meV per atom
Symmetry: No. 139

Cell and atoms, written as CIF:
```
data_AgSbRh2
_symmetry_space_group_name_H-M 'P 1'
_symmetry_Int_Tables_number 1
_cell_length_a 4.5549
_cell_length_b 4.5549
_cell_length_c 4.5549
_cell_angle_alpha 124.05
_cell_angle_beta 124.05
_cell_angle_gamma 83.12
loop_
_symmetry_equiv_pos_as_xyz
'x,y,z'
loop_
_atom_site_label
_atom_site_type_symbol
_atom_site_fract_x
_atom_site_fract_y
_atom_site_fract_z
_atom_site_occupancy
Ag1 Ag 0.0000 0.0000 0.0000 1
Sb1 Sb 0.5000 0.5000 0.0000 1
Rh1 Rh 0.2500 0.7500 0.5000 1
Rh2 Rh 0.7500 0.2500 0.5000 1
```

---

(2)
Below is a geometry-optimized Sb2OsCl structure, with properties calculated at the GGA-PBEsol level.

Offset from the most stable computed form: 0.73 eV per formula unit
Energy relative to the elements, uncorrected: 693.2 meV per atom
Symmetry: No. 71

Cell and atoms, written as CIF:
```
data_Sb2OsCl
_symmetry_space_group_name_H-M 'P 1'
_symmetry_Int_Tables_number 1
_cell_length_a 5.7072
_cell_length_b 5.7072
_cell_length_c 5.7072
_cell_angle_alpha 146.62
_cell_angle_beta 115.37
_cell_angle_gamma 74.72
loop_
_symmetry_equiv_pos_as_xyz
'x,y,z'
loop_
_atom_site_label
_atom_site_type_symbol
_atom_site_fract_x
_atom_site_fract_y
_atom_site_fract_z
_atom_site_occupancy
Sb1 Sb 0.2263 0.2263 0.0000 1
Sb2 Sb 0.7737 0.7737 0.0000 1
Os1 Os 0.0000 0.5000 0.5000 1
Cl1 Cl 0.5000 0.0000 0.5000 1
```

---

(3)
Below is a geometry-optimized LiNb2Si structure, with properties calculated at the GGA-PBEsol level.

Energy relative to the elements, uncorrected: 239.3 meV per atom
Symmetry: No. 122

Cell and atoms, written as CIF:
```
data_LiNb2Si
_symmetry_space_group_name_H-M 'P 1'
_symmetry_Int_Tables_number 1
_cell_length_a 5.5949
_cell_length_b 5.5949
_cell_length_c 5.5949
_cell_angle_alpha 102.81
_cell_angle_beta 102.81
_cell_angle_gamma 123.82
loop_
_symmetry_equiv_pos_as_xyz
'x,y,z'
loop_
_atom_site_label
_atom_site_type_symbol
_atom_site_fract_x
_atom_site_fract_y
_atom_site_fract_z
_atom_site_occupancy
Li1 Li 0.0000 0.0000 0.0000 1
Li2 Li 0.7500 0.2500 0.5000 1
Nb1 Nb 0.1329 0.6250 0.0079 1
Nb2 Nb 0.3750 0.3829 0.5079 1
Nb3 Nb 0.6171 0.1250 0.9921 1
Nb4 Nb 0.8750 0.8671 0.4921 1
Si1 Si 0.2500 0.7500 0.5000 1
Si2 Si 0.5000 0.5000 0.0000 1
```

---

(4)
Below is a geometry-optimized ZnCrCl3 structure, with properties calculated at the GGA-PBEsol level.

Energy relative to the elements, uncorrected: -470.6 meV per atom
Symmetry: No. 221

Cell and atoms, written as CIF:
```
data_ZnCrCl3
_symmetry_space_group_name_H-M 'P 1'
_symmetry_Int_Tables_number 1
_cell_length_a 4.7353
_cell_length_b 4.7353
_cell_length_c 4.7353
_cell_angle_alpha 90.00
_cell_angle_beta 90.00
_cell_angle_gamma 90.00
loop_
_symmetry_equiv_pos_as_xyz
'x,y,z'
loop_
_atom_site_label
_atom_site_type_symbol
_atom_site_fract_x
_atom_site_fract_y
_atom_site_fract_z
_atom_site_occupancy
Zn1 Zn 0.0000 0.0000 0.0000 1
Cr1 Cr 0.5000 0.5000 0.5000 1
Cl1 Cl 0.0000 0.5000 0.5000 1
Cl2 Cl 0.5000 0.0000 0.5000 1
Cl3 Cl 0.5000 0.5000 0.0000 1
```

---

(5)
Below is a geometry-optimized Ta4Mo structure, with properties calculated at the GGA-PBEsol level.

Offset from the most stable computed form: 0.24 eV per formula unit
Symmetry: No. 69
E_form: -3.8 kJ/mol of atoms

Cell and atoms, written as CIF:
```
data_Ta4Mo
_symmetry_space_group_name_H-M 'P 1'
_symmetry_Int_Tables_number 1
_cell_length_a 11.5936
_cell_length_b 11.4681
_cell_length_c 2.8399
_cell_angle_alpha 85.45
_cell_angle_beta 80.42
_cell_angle_gamma 14.13
loop_
_symmetry_equiv_pos_as_xyz
'x,y,z'
loop_
_atom_site_label
_atom_site_type_symbol
_atom_site_fract_x
_atom_site_fract_y
_atom_site_fract_z
_atom_site_occupancy
Ta1 Ta 0.0956 0.0956 0.9044 1
Ta2 Ta 0.3014 0.3014 0.6986 1
Ta3 Ta 0.6986 0.6986 0.3014 1
Ta4 Ta 0.9044 0.9044 0.0956 1
Mo1 Mo 0.5000 0.5000 0.5000 1
```

---

(6)
Below is a geometry-optimized ZnCdIn2 structure, with properties calculated at the GGA-PBEsol level.

Offset from the most stable computed form: 0.07 eV per formula unit
Symmetry: No. 123
E_form: 7.7 kJ/mol of atoms

Cell and atoms, written as CIF:
```
data_ZnCdIn2
_symmetry_space_group_name_H-M 'P 1'
_symmetry_Int_Tables_number 1
_cell_length_a 3.1696
_cell_length_b 3.1696
_cell_length_c 8.4846
_cell_angle_alpha 90.00
_cell_angle_beta 90.00
_cell_angle_gamma 90.00
loop_
_symmetry_equiv_pos_as_xyz
'x,y,z'
loop_
_atom_site_label
_atom_site_type_symbol
_atom_site_fract_x
_atom_site_fract_y
_atom_site_fract_z
_atom_site_occupancy
Zn1 Zn 0.0000 0.0000 0.0000 1
Cd1 Cd 0.0000 0.0000 0.5000 1
In1 In 0.5000 0.5000 0.2298 1
In2 In 0.5000 0.5000 0.7702 1
```